(1)
Here is a relaxed structure of CdRuSe2 from the Alexandria database. Energies are from GGA-PBE.

Cell: 6.4501 3.7331 7.2139 Å, 90.00 107.34 90.00°
Fractional coordinates of all 8 atoms:
1 Cd 0.0000 0.0000 0.0000
2 Cd 0.5000 0.5000 0.0000
3 Ru 0.0000 0.5000 0.5000
4 Ru 0.5000 0.0000 0.5000
5 Se 0.2309 0.0000 0.6942
6 Se 0.2691 0.5000 0.3058
7 Se 0.7309 0.5000 0.6942
8 Se 0.7691 0.0000 0.3058

Values from the calculation:
- Total moment: 0.00 Bohr magnetons per cell
- Calculated density: 7.44 g cm⁻³
- ΔE_f (raw): -131 meV per atom
- Space group: No. 12
- Calculated volume: 20.73 Å³ per atom

(2)
Here is a relaxed structure of CdRuSe3 from the Alexandria database. Energies are from GGA-PBE.

Cell: 4.9163 4.9163 4.9163 Å, 90.00 90.00 90.00°
Fractional coordinates of all 5 atoms:
1 Cd 0.0000 0.0000 0.0000
2 Ru 0.5000 0.5000 0.5000
3 Se 0.0000 0.5000 0.5000
4 Se 0.5000 0.0000 0.5000
5 Se 0.5000 0.5000 0.0000

Values from the calculation:
- Energy above the most stable polymorph in this dataset: 0.00 kcal/mol of atoms
- Total moment: 0.01 Bohr magnetons per cell
- Calculated density: 6.29 g cm⁻³
- ΔE_f (raw): 317 meV per atom
- Space group: No. 221
- Calculated volume: 23.77 Å³ per atom

(3)
Here is a relaxed structure of CdRuSe2 from the Alexandria database. Energies are from GGA-PBE.

Cell: 3.0590 3.0590 8.9507 Å, 90.00 90.00 90.00°
Fractional coordinates of all 4 atoms:
1 Cd 0.0000 0.0000 0.0000
2 Ru 0.0000 0.0000 0.5000
3 Se 0.5000 0.5000 0.3271
4 Se 0.5000 0.5000 0.6729

Values from the calculation:
- Total moment: 0.45 Bohr magnetons per cell
- Calculated density: 7.36 g cm⁻³
- ΔE_f (raw): 63 meV per atom
- Space group: No. 123
- Calculated volume: 20.94 Å³ per atom

(4)
Here is a relaxed structure of Ta2CdRuSe from the Alexandria database. Energies are from GGA-PBE.

Cell: 4.7279 4.7279 4.5817 Å, 90.00 90.00 90.00°
Fractional coordinates of all 5 atoms:
1 Ta 0.0000 0.5000 0.0000
2 Ta 0.5000 0.0000 0.0000
3 Cd 0.0000 0.0000 0.5000
4 Ru 0.5000 0.5000 0.5000
5 Se 0.5000 0.5000 0.0000

Values from the calculation:
- Total moment: 0.00 Bohr magnetons per cell
- Calculated density: 10.61 g cm⁻³
- ΔE_f (raw): 809 meV per atom
- Space group: No. 123
- Calculated volume: 20.48 Å³ per atom

(5)
Here is a relaxed structure of CdTeRu2Se from the Alexandria database. Energies are from GGA-PBE.

Cell: 5.1085 5.1085 4.8633 Å, 90.00 90.00 90.00°
Fractional coordinates of all 5 atoms:
1 Cd 0.0000 0.0000 0.0000
2 Te 0.5000 0.5000 0.5000
3 Ru 0.0000 0.5000 0.0000
4 Ru 0.5000 0.0000 0.0000
5 Se 0.0000 0.0000 0.5000

Values from the calculation:
- Total moment: 4.03 Bohr magnetons per cell
- Calculated density: 6.82 g cm⁻³
- ΔE_f (raw): 1648 meV per atom
- Space group: No. 123
- Calculated volume: 25.38 Å³ per atom

(6)
Here is a relaxed structure of Zn2CdRuSe from the Alexandria database. Energies are from GGA-PBE.

Cell: 4.8902 4.8902 4.5957 Å, 90.00 90.00 90.00°
Fractional coordinates of all 5 atoms:
1 Zn 0.0000 0.5000 0.0000
2 Zn 0.5000 0.0000 0.0000
3 Cd 0.0000 0.0000 0.5000
4 Ru 0.5000 0.5000 0.5000
5 Se 0.5000 0.5000 0.0000

Values from the calculation:
- Total moment: 0.07 Bohr magnetons per cell
- Calculated density: 6.40 g cm⁻³
- ΔE_f (raw): 664 meV per atom
- Space group: No. 123
- Calculated volume: 21.98 Å³ per atom

Please write out number 4 again, unchanged.
Here is a relaxed structure of Ta2CdRuSe from the Alexandria database. Energies are from GGA-PBE.

Cell: 4.7279 4.7279 4.5817 Å, 90.00 90.00 90.00°
Fractional coordinates of all 5 atoms:
1 Ta 0.0000 0.5000 0.0000
2 Ta 0.5000 0.0000 0.0000
3 Cd 0.0000 0.0000 0.5000
4 Ru 0.5000 0.5000 0.5000
5 Se 0.5000 0.5000 0.0000

Values from the calculation:
- Total moment: 0.00 Bohr magnetons per cell
- Calculated density: 10.61 g cm⁻³
- ΔE_f (raw): 809 meV per atom
- Space group: No. 123
- Calculated volume: 20.48 Å³ per atom